Record 1
A plane-wave DFT calculation with GGA-PBEsol was carried out for crystalline AlCo2W at its relaxed geometry.

Computed properties:
* DFT formation energy: -0.188 eV/atom
* DFT total energy: -0.3135 Ha/atom

```
AlCo2W
1.0
2.683 0.000 0.000
0.000 3.363 0.000
0.000 0.000 5.435
Al Co W
1 2 1
Direct
0.000 0.000 0.000
0.500 0.500 0.251
0.500 0.500 0.749
0.000 0.000 0.500
```

---

Record 2
A plane-wave DFT calculation with GGA-PBEsol was carried out for crystalline SrZn2Fe2 at its relaxed geometry.

Computed properties:
* DFT formation energy: 0.293 eV/atom
* DFT total energy: -0.1578 Ha/atom

```
SrZn2Fe2
1.0
4.218 0.000 0.000
0.000 4.218 0.000
0.000 0.000 9.775
Sr Zn Fe
2 4 4
Direct
0.000 0.000 0.000
0.500 0.500 0.500
0.000 0.500 0.250
0.000 0.500 0.750
0.500 0.000 0.250
0.500 0.000 0.750
0.000 0.000 0.390
0.000 0.000 0.610
0.500 0.500 0.110
0.500 0.500 0.890
```

---

Record 3
A plane-wave DFT calculation with GGA-PBEsol was carried out for crystalline KTl2Se2 at its relaxed geometry.

Computed properties:
* DFT total energy: -0.1214 Ha/atom

```
KTl2Se2
1.0
5.501 0.000 0.000
0.000 5.501 0.000
0.000 0.000 9.940
K Tl Se
2 4 4
Direct
0.000 0.000 0.000
0.500 0.500 0.500
0.000 0.000 0.350
0.000 0.000 0.650
0.500 0.500 0.150
0.500 0.500 0.850
0.000 0.500 0.250
0.000 0.500 0.750
0.500 0.000 0.250
0.500 0.000 0.750
```

---

Result set for mass density: 11.13, 6.30, 6.69 Mg/m³, one per record in the order listed.